{
  "formula": "Rb12CdAu5",
  "functional": "GGA-PBE",
  "state": "optimized geometry",
  "lattice_angstrom": [[9.7893, -0.0892, -4.0157], [-5.0269, 8.8497, -2.8945], [-0.2683, 0.0892, 10.5776]],
  "species": ["Rb", "Rb", "Rb", "Rb", "Rb", "Rb", "Rb", "Rb", "Rb", "Rb", "Rb", "Rb", "Au", "Au", "Au", "Au", "Au", "Cd"],
  "fractional_positions": [[0.3092, 0.6721, 0.9813], [0.8063, 0.0244, 0.2181], [0.6908, 0.3279, 0.0187], [0.4641, 0.1771, 0.2870], [0.1937, 0.9756, 0.7819], [0.3092, 0.3279, 0.6371], [0.6908, 0.6721, 0.3629], [0.5359, 0.8229, 0.7130], [0.1937, 0.4118, 0.2181], [0.1100, 0.8229, 0.2870], [0.8063, 0.5882, 0.7819], [0.8900, 0.1771, 0.7130], [0.0000, 0.0000, 0.0000], [0.6261, 0.6261, 0.0000], [0.3739, 0.3739, 0.0000], [0.5000, 0.8882, 0.3882], [0.5000, 0.1118, 0.6118], [0.0000, 0.5000, 0.5000]],
  "formation_energy_ev_per_atom": -0.17,
  "space_group": "Immm, No. 71",
  "density_g_cm3": 3.89
}